[1]
Computed, not measured: a relaxed Pm3Dy2Th crystal at the PBE level of DFT.

The structure in extended XYZ format:
```
12
Lattice="-1.552 -3.630 3.232 5.717 -7.476 -1.624 15.112 -8.057 2.236" Properties=species:S:1:pos:R:3 pbc="T T T"
Dy 6.623 -6.657 -0.269
Th 8.187 -8.636 2.287
Dy 12.655 -12.506 4.113
Pm 5.226 -6.667 3.076
Pm 11.274 -6.954 1.632
Dy 3.654 -4.701 0.502
Pm 8.004 -12.210 2.212
Pm 18.572 -16.387 2.595
Th 11.090 -10.527 1.557
Pm 14.051 -12.496 0.768
Pm 0.706 -2.776 1.248
Dy 15.623 -14.463 3.341
```

Crystal system   monoclinic
Space-group type   No. 12

=====

[2]
Computed, not measured: a relaxed Pm4Dy3Th2 crystal at the PBE level of DFT.

The structure in extended XYZ format:
```
9
Lattice="3.583 0.000 0.000 -1.791 3.103 0.000 0.000 0.000 26.961" Properties=species:S:1:pos:R:3 pbc="T T T"
Pm 1.791 1.034 11.652
Th 1.791 1.034 23.537
Pm 0.000 0.000 14.698
Dy 1.791 1.034 17.604
Pm 0.000 0.000 20.563
Dy 0.000 0.000 8.716
Th 1.791 1.034 2.410
Dy 0.000 0.000 26.465
Pm 1.791 1.034 5.849
```

Crystal system   trigonal
Space-group type   No. 156

=====

[3]
Computed, not measured: a relaxed Pm2DyTh4 crystal at the PBE level of DFT.

The structure in extended XYZ format:
```
7
Lattice="3.549 0.000 -0.468 0.000 3.580 0.000 0.602 0.000 18.247" Properties=species:S:1:pos:R:3 pbc="T T T"
Dy 1.775 0.000 -0.234
Pm 3.172 1.790 10.353
Th 3.817 1.790 15.241
Th 1.723 0.000 13.059
Pm 0.980 1.790 7.426
Th 2.428 0.000 4.719
Th 0.335 1.790 2.537
```

Crystal system   orthorhombic
Space-group type   No. 65

=====

[4]
Computed, not measured: a relaxed PmDyThTl crystal at the PBE level of DFT.

The structure in extended XYZ format:
```
4
Lattice="5.519 0.000 0.000 2.759 4.779 0.000 2.759 1.593 4.506" Properties=species:S:1:pos:R:3 pbc="T T T"
Dy 8.278 4.779 3.379
Tl 0.000 0.000 0.000
Pm 2.759 1.593 1.126
Th 5.519 3.186 2.253
```

Crystal system   cubic
Space-group type   No. 216

=====

[5]
Computed, not measured: a relaxed Pm2Dy4TmTh crystal at the PBE level of DFT.

The structure in extended XYZ format:
```
8
Lattice="-5.307 -1.389 -2.192 -1.136 -3.252 4.809 -4.053 2.665 8.121" Properties=species:S:1:pos:R:3 pbc="T T T"
Dy -3.889 -0.445 9.695
Pm -4.680 0.638 2.965
Dy -4.519 -2.466 4.542
Dy -6.607 -1.530 1.043
Pm -4.053 2.665 8.121
Th -3.221 -2.320 1.308
Tm -2.594 -0.293 6.465
Dy -5.976 0.490 6.196
```

Crystal system   tetragonal
Space-group type   No. 123

=====

[6]
Computed, not measured: a relaxed PmDyTmTh crystal at the PBE level of DFT.

The structure in extended XYZ format:
```
4
Lattice="-4.417 3.388 -1.129 -5.301 -1.937 0.638 -3.243 1.945 4.237" Properties=species:S:1:pos:R:3 pbc="T T T"
Dy 0.000 0.000 0.000
Tm -9.720 2.547 2.810
Pm -3.240 0.849 0.937
Th -6.480 1.698 1.873
```

Crystal system   cubic
Space-group type   No. 216

=====

Number 1: DOS at the Fermi energy 17.86 states/eV per cell, ΔE_f 0.3 eV per formula unit, total magnetic moment 0.000 μB/atom. Number 2: DOS at the Fermi energy 17.00 states/eV per cell, ΔE_f 0.7 eV per formula unit, total magnetic moment 0.000 μB/atom. Number 3: DOS at the Fermi energy 10.51 states/eV per cell, ΔE_f 0.5 eV per formula unit, total magnetic moment 0.000 μB/atom. Number 4: DOS at the Fermi energy 7.06 states/eV per cell, ΔE_f 0.2 eV per formula unit, total magnetic moment 0.000 μB/atom. Number 5: DOS at the Fermi energy 15.16 states/eV per cell, ΔE_f 1.0 eV per formula unit, total magnetic moment 0.000 μB/atom. Number 6: DOS at the Fermi energy 8.34 states/eV per cell, ΔE_f 0.7 eV per formula unit, total magnetic moment 0.000 μB/atom.